[1]
Here is a geometry-optimized TaNbOs structure from OQMD via LeMat-Bulk. Energies are from PBE-GGA.

- Space-group type: F-43m
- DFT formation energy: 14.7 kJ/mol of atoms
- Size of the total moment: 0.002 μB per formula unit

Cell lengths 4.381, 4.381, 4.381 Å; angles 60.00, 60.00, 60.00 degrees
Element x y z (fractional)
Nb1 0.250 0.250 0.250
Os1 0.000 0.000 0.000
Ta1 0.750 0.750 0.750

=====

[2]
Here is a geometry-optimized IrPdW structure from OQMD via LeMat-Bulk. Energies are from PBE-GGA.

- Space-group type: F-43m
- DFT formation energy: 32.0 kJ/mol of atoms
- Size of the total moment: 0.000 μB per formula unit

Cell lengths 4.238, 4.238, 4.238 Å; angles 60.00, 60.00, 60.00 degrees
Element x y z (fractional)
Ir1 0.250 0.250 0.250
Pd1 0.750 0.750 0.750
W1 0.000 0.000 0.000

=====

[3]
Here is a geometry-optimized ScZnCoSb structure from OQMD via LeMat-Bulk. Energies are from PBE-GGA.

- Space-group type: F-43m
- E: -4.877 eV/atom
- Size of the total moment: 0.260 μB per formula unit

Cell lengths 4.550, 4.550, 4.550 Å; angles 60.00, 60.00, 60.00 degrees
Element x y z (fractional)
Co1 0.500 0.500 0.500
Sb1 0.250 0.250 0.250
Sc1 0.750 0.750 0.750
Zn1 0.000 0.000 0.000

=====

[4]
Here is a geometry-optimized Zr3Si4Pd structure from OQMD via LeMat-Bulk. Energies are from PBE-GGA.

- Space-group type: Pm
- E: -7.247 eV/atom
- Size of the total moment: 0.001 μB per formula unit

Cell lengths 5.208, 3.761, 7.061 Å; angles 90.00, 90.31, 90.00 degrees
Element x y z (fractional)
Pd1 0.374 0.500 0.139
Si1 0.858 0.500 0.056
Si2 0.369 0.000 0.442
Si3 0.633 0.500 0.549
Si4 0.148 0.000 0.971
Zr1 0.870 0.000 0.328
Zr2 0.116 0.500 0.688
Zr3 0.633 0.000 0.826

=====

[5]
Here is a geometry-optimized Gd2TmO3 structure from OQMD via LeMat-Bulk. Energies are from PBE-GGA.

- Space-group type: P-3m1
- E: -7.580 eV/atom
- Size of the total moment: 0.003 μB per formula unit

Cell lengths 3.381, 3.381, 8.431 Å; angles 90.00, 90.00, 120.00 degrees
Element x y z (fractional)
Gd1 0.667 0.333 0.331
Gd2 0.333 0.667 0.669
O1 0.333 0.667 0.145
O2 0.000 0.000 0.500
O3 0.667 0.333 0.855
Tm1 0.000 0.000 0.000

=====

[6]
Here is a geometry-optimized Cs2KCuBr6 structure from OQMD via LeMat-Bulk. Energies are from PBE-GGA.

- Space-group type: I4/mmm
- E: -2.732 eV/atom

Cell lengths 8.042, 8.042, 8.042 Å; angles 120.19, 120.19, 89.66 degrees
Element x y z (fractional)
Br1 0.776 0.224 0.000
Br2 0.225 0.225 0.000
Br3 0.775 0.775 0.000
Br4 0.224 0.776 0.000
Br5 0.224 0.224 0.447
Br6 0.776 0.776 0.553
Cs1 0.750 0.250 0.500
Cs2 0.250 0.750 0.500
Cu1 0.000 0.000 0.000
K1 0.500 0.500 0.000

=====

[7]
Here is a geometry-optimized YCoReBi structure from OQMD via LeMat-Bulk. Energies are from PBE-GGA.

- Space-group type: F-43m
- E: -7.070 eV/atom
- Size of the total moment: 0.020 μB per formula unit

Cell lengths 4.724, 4.724, 4.724 Å; angles 60.00, 60.00, 60.00 degrees
Element x y z (fractional)
Bi1 0.000 0.000 0.000
Co1 0.750 0.750 0.750
Re1 0.250 0.250 0.250
Y1 0.500 0.500 0.500

=====

[8]
Here is a geometry-optimized CsNaTcIr structure from OQMD via LeMat-Bulk. Energies are from PBE-GGA.

- Space-group type: F-43m
- E: -3.937 eV/atom
- Size of the total moment: 1.908 μB per formula unit

Cell lengths 4.896, 4.896, 4.896 Å; angles 60.00, 60.00, 60.00 degrees
Element x y z (fractional)
Cs1 0.500 0.500 0.500
Ir1 0.000 0.000 0.000
Na1 0.750 0.750 0.750
Tc1 0.250 0.250 0.250

=====

[9]
Here is a geometry-optimized GdTmIn2 structure from OQMD via LeMat-Bulk. Energies are from PBE-GGA.

- Space-group type: Amm2
- E: -4.062 eV/atom
- Size of the total moment: 0.003 μB per formula unit

Cell lengths 4.300, 6.152, 6.152 Å; angles 43.39, 90.00, 90.00 degrees
Element x y z (fractional)
Gd1 0.000 0.362 0.362
In1 0.000 0.087 0.087
In2 0.500 0.914 0.914
Tm1 0.500 0.638 0.638

=====

[10]
Here is a geometry-optimized HfScU structure from OQMD via LeMat-Bulk. Energies are from PBE-GGA.

- Space-group type: F-43m
- DFT formation energy: 104.7 kJ/mol of atoms
- Size of the total moment: 0.579 μB per formula unit

Cell lengths 4.803, 4.803, 4.803 Å; angles 60.00, 60.00, 60.00 degrees
Element x y z (fractional)
Hf1 0.000 0.000 0.000
Sc1 0.250 0.250 0.250
U1 0.750 0.750 0.750

=====

[11]
Here is a geometry-optimized LuTcNiGe structure from OQMD via LeMat-Bulk. Energies are from PBE-GGA.

- Space-group type: F-43m
- E: -6.486 eV/atom
- Size of the total moment: 0.005 μB per formula unit

Cell lengths 4.456, 4.456, 4.456 Å; angles 60.00, 60.00, 60.00 degrees
Element x y z (fractional)
Ge1 0.000 0.000 0.000
Lu1 0.500 0.500 0.500
Ni1 0.750 0.750 0.750
Tc1 0.250 0.250 0.250

=====

[12]
Here is a geometry-optimized CsHfCuTe2Se structure from OQMD via LeMat-Bulk. Energies are from PBE-GGA.

- Space-group type: Cmcm
- E: -4.929 eV/atom
- Size of the total moment: 0.002 μB per formula unit

Cell lengths 8.790, 8.790, 10.462 Å; angles 90.00, 90.00, 153.07 degrees
Element x y z (fractional)
Cs1 0.738 0.262 0.250
Cs2 0.262 0.738 0.750
Cu1 0.471 0.529 0.250
Cu2 0.529 0.471 0.750
Hf1 0.000 0.000 0.000
Hf2 0.000 0.000 0.500
Se1 0.051 0.949 0.250
Se2 0.949 0.051 0.750
Te1 0.383 0.617 0.048
Te2 0.383 0.617 0.452
Te3 0.617 0.383 0.548
Te4 0.617 0.383 0.952

=====

[13]
Here is a geometry-optimized PrSm2Mg3CdIn2 structure from OQMD via LeMat-Bulk. Energies are from PBE-GGA.

- Space-group type: Amm2
- E: -3.190 eV/atom
- Size of the total moment: 0.028 μB per formula unit

Cell lengths 4.730, 7.682, 7.682 Å; angles 120.18, 90.00, 90.00 degrees
Element x y z (fractional)
Cd1 0.000 0.998 0.998
In1 0.500 0.668 0.333
In2 0.500 0.333 0.668
Mg1 0.500 0.000 0.240
Mg2 0.500 0.760 0.760
Mg3 0.500 0.240 0.000
Pr1 0.000 0.422 0.422
Sm1 0.000 0.578 0.000
Sm2 0.000 0.000 0.578

=====

[14]
Here is a geometry-optimized Zr3Sc3Te2Pd structure from OQMD via LeMat-Bulk. Energies are from PBE-GGA.

- Space-group type: P-62m
- E: -6.909 eV/atom
- Size of the total moment: 0.054 μB per formula unit

Cell lengths 7.854, 7.854, 3.660 Å; angles 90.00, 90.00, 120.00 degrees
Element x y z (fractional)
Pd1 0.000 0.000 0.000
Sc1 0.249 0.000 0.500
Sc2 0.000 0.249 0.500
Sc3 0.751 0.751 0.500
Te1 0.667 0.333 0.500
Te2 0.333 0.667 0.500
Zr1 0.593 0.000 0.000
Zr2 0.407 0.407 0.000
Zr3 0.000 0.593 0.000

=====

[15]
Here is a geometry-optimized Tm3Sc3NiTe2 structure from OQMD via LeMat-Bulk. Energies are from PBE-GGA.

- Space-group type: P-62m
- E: -5.565 eV/atom
- Size of the total moment: 0.300 μB per formula unit

Cell lengths 8.099, 8.099, 3.744 Å; angles 90.00, 90.00, 120.00 degrees
Element x y z (fractional)
Ni1 0.000 0.000 0.000
Sc1 0.400 0.000 0.000
Sc2 0.000 0.400 0.000
Sc3 0.600 0.600 0.000
Te1 0.667 0.333 0.500
Te2 0.333 0.667 0.500
Tm1 0.757 0.000 0.500
Tm2 0.243 0.243 0.500
Tm3 0.000 0.757 0.500

=====

[16]
Here is a geometry-optimized Mg2ZrGa structure from OQMD via LeMat-Bulk. Energies are from PBE-GGA.

- Space-group type: F-43m
- E: -3.705 eV/atom
- Size of the total moment: 0.373 μB per formula unit

Cell lengths 4.818, 4.818, 4.818 Å; angles 60.00, 60.00, 60.00 degrees
Element x y z (fractional)
Ga1 0.500 0.500 0.500
Mg1 0.000 0.000 0.000
Mg2 0.750 0.750 0.750
Zr1 0.250 0.250 0.250

=====

[17]
Here is a geometry-optimized HfTl structure from OQMD via LeMat-Bulk. Energies are from PBE-GGA.

- Space-group type: F-43m
- E: -4.800 eV/atom
- Size of the total moment: 0.004 μB per formula unit

Cell lengths 4.575, 4.575, 4.575 Å; angles 60.00, 60.00, 60.00 degrees
Element x y z (fractional)
Hf1 0.000 0.000 0.000
Tl1 0.250 0.250 0.250

=====

[18]
Here is a geometry-optimized BeCdBiIr structure from OQMD via LeMat-Bulk. Energies are from PBE-GGA.

- Space-group type: F-43m
- E: -3.838 eV/atom
- Size of the total moment: 0.001 μB per formula unit

Cell lengths 4.703, 4.703, 4.703 Å; angles 60.00, 60.00, 60.00 degrees
Element x y z (fractional)
Be1 0.750 0.750 0.750
Bi1 0.500 0.500 0.500
Cd1 0.000 0.000 0.000
Ir1 0.250 0.250 0.250

=====

[19]
Here is a geometry-optimized ScAg2 structure from OQMD via LeMat-Bulk. Energies are from PBE-GGA.

- Space-group type: I4/mmm
- DFT formation energy: -29.5 kJ/mol of atoms
- Size of the total moment: 0.002 μB per formula unit

Cell lengths 3.548, 3.548, 8.914 Å; angles 90.00, 90.00, 90.00 degrees
Element x y z (fractional)
Ag1 0.000 0.000 0.166
Ag2 0.500 0.500 0.334
Ag3 0.500 0.500 0.667
Ag4 0.000 0.000 0.833
Sc1 0.000 0.000 0.500
Sc2 0.500 0.500 0.000

=====

[20]
Here is a geometry-optimized Ta4AuN3 structure from OQMD via LeMat-Bulk. Energies are from PBE-GGA.

- Space-group type: P6_3/mmc
- E: -10.153 eV/atom
- Size of the total moment: 0.000 μB per formula unit

Cell lengths 3.177, 3.177, 23.419 Å; angles 90.00, 90.00, 120.00 degrees
Element x y z (fractional)
Au1 0.333 0.667 0.250
Au2 0.667 0.333 0.750
N1 0.000 0.000 0.000
N2 0.667 0.333 0.109
N3 0.667 0.333 0.391
N4 0.000 0.000 0.500
N5 0.333 0.667 0.609
N6 0.333 0.667 0.891
Ta1 0.333 0.667 0.058
Ta2 0.000 0.000 0.155
Ta3 0.000 0.000 0.345
Ta4 0.333 0.667 0.442
Ta5 0.667 0.333 0.558
Ta6 0.000 0.000 0.655
Ta7 0.000 0.000 0.845
Ta8 0.667 0.333 0.942

=====

[21]
Here is a geometry-optimized GdThCu structure from OQMD via LeMat-Bulk. Energies are from PBE-GGA.

- Space-group type: F-43m
- DFT formation energy: 17.8 kJ/mol of atoms
- Size of the total moment: 0.049 μB per formula unit

Cell lengths 4.883, 4.883, 4.883 Å; angles 60.00, 60.00, 60.00 degrees
Element x y z (fractional)
Cu1 0.000 0.000 0.000
Gd1 0.250 0.250 0.250
Th1 0.750 0.750 0.750

=====

[22]
Here is a geometry-optimized ScNb2 structure from OQMD via LeMat-Bulk. Energies are from PBE-GGA.

- Space-group type: Fd-3m
- DFT formation energy: 14.3 kJ/mol of atoms
- Size of the total moment: 0.036 μB per formula unit

Cell lengths 5.579, 5.579, 5.579 Å; angles 60.00, 60.00, 60.00 degrees
Element x y z (fractional)
Nb1 0.625 0.625 0.125
Nb2 0.625 0.125 0.625
Nb3 0.125 0.625 0.625
Nb4 0.625 0.625 0.625
Sc1 0.000 0.000 0.000
Sc2 0.250 0.250 0.250

=====

[23]
Here is a geometry-optimized SrNb2Ir structure from OQMD via LeMat-Bulk. Energies are from PBE-GGA.

- Space-group type: F-43m
- E: -7.127 eV/atom
- Size of the total moment: 0.009 μB per formula unit

Cell lengths 4.819, 4.819, 4.819 Å; angles 60.00, 60.00, 60.00 degrees
Element x y z (fractional)
Ir1 0.500 0.500 0.500
Nb1 0.000 0.000 0.000
Nb2 0.250 0.250 0.250
Sr1 0.750 0.750 0.750

=====

[24]
Here is a geometry-optimized BaYPd structure from OQMD via LeMat-Bulk. Energies are from PBE-GGA.

- Space-group type: F-43m
- E: -4.717 eV/atom
- Size of the total moment: 0.003 μB per formula unit

Cell lengths 5.192, 5.192, 5.192 Å; angles 60.00, 60.00, 60.00 degrees
Element x y z (fractional)
Ba1 0.250 0.250 0.250
Pd1 0.000 0.000 0.000
Y1 0.750 0.750 0.750

=====

[25]
Here is a geometry-optimized SrTaBeIr structure from OQMD via LeMat-Bulk. Energies are from PBE-GGA.

- Space-group type: F-43m
- E: -6.018 eV/atom
- Size of the total moment: 0.065 μB per formula unit

Cell lengths 4.725, 4.725, 4.725 Å; angles 60.00, 60.00, 60.00 degrees
Element x y z (fractional)
Be1 0.750 0.750 0.750
Ir1 0.250 0.250 0.250
Sr1 0.000 0.000 0.000
Ta1 0.500 0.500 0.500

=====

[26]
Here is a geometry-optimized LiCuTcPb structure from OQMD via LeMat-Bulk. Energies are from PBE-GGA.

- Space-group type: F-43m
- E: -4.428 eV/atom
- Size of the total moment: 1.759 μB per formula unit

Cell lengths 4.436, 4.436, 4.436 Å; angles 60.00, 60.00, 60.00 degrees
Element x y z (fractional)
Cu1 0.250 0.250 0.250
Li1 0.750 0.750 0.750
Pb1 0.000 0.000 0.000
Tc1 0.500 0.500 0.500

=====

[27]
Here is a geometry-optimized Tb3HoC2Se2 structure from OQMD via LeMat-Bulk. Energies are from PBE-GGA.

- Space-group type: P3m1
- E: -6.624 eV/atom
- Size of the total moment: 0.007 μB per formula unit

Cell lengths 3.770, 3.770, 13.319 Å; angles 90.00, 90.00, 120.00 degrees
Element x y z (fractional)
C1 0.333 0.667 0.500
C2 0.333 0.667 0.999
Ho1 0.000 0.000 0.900
Se1 0.000 0.000 0.250
Se2 0.667 0.333 0.752
Tb1 0.667 0.333 0.099
Tb2 0.667 0.333 0.399
Tb3 0.000 0.000 0.601